# RbNa3As PBE-GGA optimized geometry
data_RbNa3As
_cell_length_a 5.896
_cell_length_b 5.896
_cell_length_c 5.896
_cell_angle_alpha 90.00
_cell_angle_beta 90.00
_cell_angle_gamma 90.00
_symmetry_space_group_name_H-M 'P m -3 m'
_symmetry_Int_Tables_number 221
_symmetry_space_group_name_Hall '-P 4 2 3'
loop_
_atom_site_label
_atom_site_fract_x
_atom_site_fract_y
_atom_site_fract_z
_atom_site_occupancy
Rb1 0.000 0.000 0.000 1
Na1 0.000 0.000 0.500 1
As1 0.500 0.500 0.500 1
# - ΔE_f (eV per atom) = 0.731
# - E (eV/atom) = -1.184